VASP calculation (PBE) on a geometry-optimized Li2Mg3Tl structure.

Cell lengths 4.6672, 7.4773, 8.8942 Å; angles 118.49, 90.00, 108.19 degrees
Element x y z (fractional)
Li 0.5394 0.0788 0.8863
Li 0.4606 0.9212 0.1137
Li 0.7812 0.5624 0.1145
Li 0.2188 0.4376 0.8855
Mg 0.2959 0.5918 0.6345
Mg 0.9625 0.9250 0.6397
Mg 0.6227 0.2454 0.6334
Mg 0.3773 0.7546 0.3666
Mg 0.0375 0.0750 0.3603
Mg 0.7041 0.4082 0.3655
Tl 0.8689 0.7378 0.8890
Tl 0.1311 0.2622 0.1110

Calculated values
Calculated density: 3.792 g/cm³
Raw total energy: -23.2 eV for the cell shown
SG: C2/m, No. 12